Density functional theory data (PBE) for a geometry-optimized PrTm6Th3 structure.

Cell lengths 3.564, 14.514, 12.696 Å; angles 80.87, 81.94, 75.85 degrees
Sites, in units of the cell vectors:
Th 0.077 0.523 0.306
Th 0.975 0.828 0.895
Th 0.423 0.977 0.699
Th 0.577 0.023 0.301
Th 0.025 0.172 0.105
Th 0.923 0.477 0.694
Tm 0.378 0.624 0.498
Tm 0.725 0.074 0.900
Tm 0.275 0.926 0.100
Tm 0.879 0.123 0.497
Tm 0.674 0.726 0.701
Tm 0.774 0.424 0.106
Tm 0.177 0.225 0.697
Tm 0.326 0.274 0.299
Tm 0.622 0.376 0.502
Tm 0.823 0.775 0.303
Tm 0.226 0.576 0.894
Tm 0.121 0.877 0.503
Pr 0.475 0.327 0.899
Pr 0.525 0.673 0.101

## Properties
E_form, eV/atom: 0.033
Spin magnetization, μB per atom: 0.000
Polymorph energy (0 for the lowest one), kJ/mol of formula units: 0